Zr3MnH after structural relaxation. Source: Alexandria, functional PBE.

## Properties
For the mass density, the calculation gives 4.8 g/cm3. As for the crystal system: cubic. The total energy is -6.67 eV/atom. The value obtained for the magnetization is 0.002 μB per formula unit.

The structure in CIF format:
```
data_Zr3MnH
_cell_length_a 4.8328
_cell_length_b 4.8328
_cell_length_c 4.8328
_cell_angle_alpha 90.00
_cell_angle_beta 90.00
_cell_angle_gamma 90.00
_symmetry_space_group_name_H-M 'P m -3 m'
_symmetry_Int_Tables_number 221
_symmetry_space_group_name_Hall '-P 4 2 3'
loop_
_atom_site_label
_atom_site_fract_x
_atom_site_fract_y
_atom_site_fract_z
Zr1 0.0000 0.0000 0.5000
Mn1 0.0000 0.0000 0.0000
H1 0.5000 0.5000 0.5000
```



ZrMn3H6 after structural relaxation. Source: Alexandria, functional PBE.

## Properties
For the mass density, the calculation gives 5.9 g/cm3. As for the crystal system: trigonal. The total energy is -5.74 eV/atom. The value obtained for the magnetization is 6.984 μB per formula unit.

The structure in CIF format:
```
data_ZrMn3H6
_cell_length_a 4.7574
_cell_length_b 4.7574
_cell_length_c 11.2776
_cell_angle_alpha 90.00
_cell_angle_beta 90.00
_cell_angle_gamma 120.00
_symmetry_space_group_name_H-M 'R 3'
_symmetry_Int_Tables_number 146
_symmetry_space_group_name_Hall 'R 3'
loop_
_atom_site_label
_atom_site_fract_x
_atom_site_fract_y
_atom_site_fract_z
Zr1 0.0000 0.0000 0.0000
Mn1 0.0000 0.0000 0.2505
Mn2 0.0000 0.0000 0.4967
Mn3 0.0000 0.0000 0.7527
H1 0.0138 0.3954 0.5105
H2 0.0365 0.5814 0.0218
```



Zr2MnH after structural relaxation. Source: Alexandria, functional PBE.

## Properties
For the mass density, the calculation gives 6.3 g/cm3. As for the crystal system: tetragonal. The total energy is -7.35 eV/atom. The value obtained for the magnetization is 1.991 μB per formula unit.

The structure in CIF format:
```
data_Zr2MnH
_cell_length_a 6.2052
_cell_length_b 6.2052
_cell_length_c 6.5494
_cell_angle_alpha 90.00
_cell_angle_beta 90.00
_cell_angle_gamma 90.00
_symmetry_space_group_name_H-M 'I -4 2 d'
_symmetry_Int_Tables_number 122
_symmetry_space_group_name_Hall 'I -4 2bw'
loop_
_atom_site_label
_atom_site_fract_x
_atom_site_fract_y
_atom_site_fract_z
Zr1 0.1762 0.2500 0.1250
Mn1 0.0000 0.0000 0.5000
H1 0.0000 0.0000 0.0000
```



Zr5Mn2H12 after structural relaxation. Source: Alexandria, functional PBE.

## Properties
For the mass density, the calculation gives 5.7 g/cm3. As for the crystal system: monoclinic. The total energy is -5.66 eV/atom. The value obtained for the magnetization is 0.790 μB per formula unit.

The structure in CIF format:
```
data_Zr5Mn2H12
_cell_length_a 9.9029
_cell_length_b 5.3396
_cell_length_c 6.5479
_cell_angle_alpha 90.00
_cell_angle_beta 101.93
_cell_angle_gamma 90.00
_symmetry_space_group_name_H-M 'C 1 2/m 1'
_symmetry_Int_Tables_number 12
loop_
_symmetry_equiv_pos_as_xyz
'x,y,z'
'-x,-y,-z'
'-x,y,-z'
'x,-y,z'
'x+1/2,y+1/2,z'
'-x+1/2,-y+1/2,-z'
'-x+1/2,y+1/2,-z'
'x+1/2,-y+1/2,z'
loop_
_atom_site_label
_atom_site_fract_x
_atom_site_fract_y
_atom_site_fract_z
Zr1 0.0000 0.0000 0.0000
Zr2 0.1540 0.5000 0.8636
Zr3 0.2172 0.5000 0.3447
Mn1 0.0000 0.2270 0.5000
H1 0.0183 0.5000 0.3569
H2 0.0640 0.0000 0.3615
H3 0.1664 0.2999 0.5959
H4 0.1711 0.2359 0.1006
```



Zr2MnH2 after structural relaxation. Source: Alexandria, functional PBE.

## Properties
For the mass density, the calculation gives 6.2 g/cm3. As for the crystal system: tetragonal. The total energy is -6.25 eV/atom. The value obtained for the magnetization is 1.511 μB per formula unit.

The structure in CIF format:
```
data_Zr2MnH2
_cell_length_a 6.7343
_cell_length_b 6.7343
_cell_length_c 2.8434
_cell_angle_alpha 90.00
_cell_angle_beta 90.00
_cell_angle_gamma 90.00
_symmetry_space_group_name_H-M 'P 4/m b m'
_symmetry_Int_Tables_number 127
_symmetry_space_group_name_Hall '-P 4 2ab'
loop_
_atom_site_label
_atom_site_fract_x
_atom_site_fract_y
_atom_site_fract_z
Zr1 0.1623 0.3377 0.0000
Mn1 0.0000 0.0000 0.0000
H1 0.1162 0.6162 0.5000
```



Zr2MnH6 after structural relaxation. Source: Alexandria, functional PBE.

## Properties
For the mass density, the calculation gives 5.4 g/cm3. As for the crystal system: monoclinic. The total energy is -5.49 eV/atom. The value obtained for the magnetization is 3.098 μB per formula unit.

The structure in CIF format:
```
data_Zr2MnH6
_cell_length_a 10.6173
_cell_length_b 4.4424
_cell_length_c 3.3641
_cell_angle_alpha 90.00
_cell_angle_beta 108.23
_cell_angle_gamma 90.00
_symmetry_space_group_name_H-M 'C 1 2/m 1'
_symmetry_Int_Tables_number 12
loop_
_symmetry_equiv_pos_as_xyz
'x,y,z'
'-x,-y,-z'
'-x,y,-z'
'x,-y,z'
'x+1/2,y+1/2,z'
'-x+1/2,-y+1/2,-z'
'-x+1/2,y+1/2,-z'
'x+1/2,-y+1/2,z'
loop_
_atom_site_label
_atom_site_fract_x
_atom_site_fract_y
_atom_site_fract_z
Zr1 0.1620 0.0000 0.1624
Mn1 0.0000 0.5000 0.5000
H1 0.0000 0.2719 0.0000
H2 0.1601 0.2639 0.6605
```



Zr2MnH8 after structural relaxation. Source: Alexandria, functional PBE.

## Properties
For the mass density, the calculation gives 5.2 g/cm3. As for the crystal system: monoclinic. The total energy is -5.07 eV/atom. The value obtained for the magnetization is 1.243 μB per formula unit.

The structure in CIF format:
```
data_Zr2MnH8
_cell_length_a 12.6173
_cell_length_b 3.2143
_cell_length_c 4.0894
_cell_angle_alpha 90.00
_cell_angle_beta 108.84
_cell_angle_gamma 90.00
_symmetry_space_group_name_H-M 'C 1 2/m 1'
_symmetry_Int_Tables_number 12
loop_
_symmetry_equiv_pos_as_xyz
'x,y,z'
'-x,-y,-z'
'-x,y,-z'
'x,-y,z'
'x+1/2,y+1/2,z'
'-x+1/2,-y+1/2,-z'
'-x+1/2,y+1/2,-z'
'x+1/2,-y+1/2,z'
loop_
_atom_site_label
_atom_site_fract_x
_atom_site_fract_y
_atom_site_fract_z
Zr1 0.1441 0.0000 0.1436
Mn1 0.0000 0.5000 0.5000
H1 0.9999 0.0000 0.2821
H2 0.1177 0.5000 0.4014
H3 0.1176 0.5000 0.8336
H4 0.2389 0.0000 0.7394
```



ZrMnH2 after structural relaxation. Source: Alexandria, functional PBE.

## Properties
For the mass density, the calculation gives 6.1 g/cm3. As for the crystal system: tetragonal. The total energy is -6.25 eV/atom. The value obtained for the magnetization is 1.489 μB per formula unit.

The structure in CIF format:
```
data_ZrMnH2
_cell_length_a 4.0931
_cell_length_b 4.0931
_cell_length_c 9.5824
_cell_angle_alpha 90.00
_cell_angle_beta 90.00
_cell_angle_gamma 90.00
_symmetry_space_group_name_H-M 'I -4 2 d'
_symmetry_Int_Tables_number 122
_symmetry_space_group_name_Hall 'I -4 2bw'
loop_
_atom_site_label
_atom_site_fract_x
_atom_site_fract_y
_atom_site_fract_z
Zr1 0.0000 0.0000 0.0000
Mn1 0.0000 0.0000 0.5000
H1 0.1740 0.2500 0.6250
```



- Among the records above, which one has the lowest total energy?
  Zr2MnH



Please write out number 4 again, unchanged.
Zr5Mn2H12 after structural relaxation. Source: Alexandria, functional PBE.

## Properties
For the mass density, the calculation gives 5.7 g/cm3. As for the crystal system: monoclinic. The total energy is -5.66 eV/atom. The value obtained for the magnetization is 0.790 μB per formula unit.

The structure in CIF format:
```
data_Zr5Mn2H12
_cell_length_a 9.9029
_cell_length_b 5.3396
_cell_length_c 6.5479
_cell_angle_alpha 90.00
_cell_angle_beta 101.93
_cell_angle_gamma 90.00
_symmetry_space_group_name_H-M 'C 1 2/m 1'
_symmetry_Int_Tables_number 12
loop_
_symmetry_equiv_pos_as_xyz
'x,y,z'
'-x,-y,-z'
'-x,y,-z'
'x,-y,z'
'x+1/2,y+1/2,z'
'-x+1/2,-y+1/2,-z'
'-x+1/2,y+1/2,-z'
'x+1/2,-y+1/2,z'
loop_
_atom_site_label
_atom_site_fract_x
_atom_site_fract_y
_atom_site_fract_z
Zr1 0.0000 0.0000 0.0000
Zr2 0.1540 0.5000 0.8636
Zr3 0.2172 0.5000 0.3447
Mn1 0.0000 0.2270 0.5000
H1 0.0183 0.5000 0.3569
H2 0.0640 0.0000 0.3615
H3 0.1664 0.2999 0.5959
H4 0.1711 0.2359 0.1006
```



- Among the records above, which one has the lowest mass density?
  Zr3MnH